Record 1
The following is a DFT calculation (PBE) of an optimized crystal structure of Ni2SnHIr.

The space group is P4/mmm (No. 123) and the conventional cell measures 3.900, 3.900 and 3.841 Å, with angles of 90.00, 90.00 and 90.00 degrees. The distinct sites, in fractional coordinates, are Ni at (0.000, 0.500, 0.000), Sn at (0.000, 0.000, 0.500), H at (0.500, 0.500, 0.000) and Ir at (0.500, 0.500, 0.500).

The electronic total energy comes out at -5.7007 eV per atom. The density of states at the Fermi level comes out at 2.1 states/eV/f.u.


Record 2
The following is a DFT calculation (PBE) of an optimized crystal structure of Ni12Sn4H3Ir.

The space group is Im-3m (No. 229) and the conventional cell measures 7.876, 7.876 and 7.876 Å, with angles of 90.00, 90.00 and 90.00 degrees. The distinct sites, in fractional coordinates, are Ni at (0.000, 0.000, 0.299), Ni at (0.000, 0.250, 0.500), Sn at (0.250, 0.250, 0.250), H at (0.000, 0.000, 0.500) and Ir at (0.000, 0.000, 0.000).

The electronic total energy comes out at -5.1740 eV per atom. The density of states at the Fermi level comes out at 17.0 states/eV/f.u.


Record 3
The following is a DFT calculation (PBE) of an optimized crystal structure of NiSnHIr2.

The space group is P4/mmm (No. 123) and the conventional cell measures 4.034, 4.034 and 3.840 Å, with angles of 90.00, 90.00 and 90.00 degrees. The distinct sites, in fractional coordinates, are Ni at (0.000, 0.000, 0.000), Sn at (0.500, 0.500, 0.000), H at (0.000, 0.000, 0.500) and Ir at (0.000, 0.500, 0.500).

The electronic total energy comes out at -6.2060 eV per atom. The density of states at the Fermi level comes out at 4.0 states/eV/f.u.